Here is crystalline DyThMg2Au4 at its relaxed geometry from the Alexandria database. Energies are from PBE-GGA.

abc: 4.8832 4.8832 25.3572
angles: 90.00 90.00 120.00
Last column: nearest neighbours and their distance in Å.
Space group R-3m (No. 166, hexagonal axes)
Symmetry-distinct sites (fractional):
Dy 0.0000 0.0000 0.0000 [3 per cell]  8 Au 2.97-3.03
Th 0.0000 0.0000 0.5000 [3 per cell]  8 Au 3.09-3.12
Mg 0.0000 0.0000 0.2541 [6 per cell]  7 Au 2.96-3.12
Au 0.0000 0.0000 0.1170 [6 per cell]  1 Dy 2.97, 3 Mg 2.98, 3 Th 3.09
Au 0.0000 0.0000 0.3770 [6 per cell]  4 Mg 2.96-3.12, 3 Dy 3.03, 1 Th 3.12

ΔE_f: -0.73 eV per atom
calculated total energy: -4.27 eV per atom